This record from Alexandria describes an optimized crystal structure of Sc8GeS6. The functional is PBE.

Cell lengths 9.544, 9.544, 3.667 Å; angles 90.00, 90.00, 120.00 degrees
Atoms (fractional coordinates):
Sc 0.710 0.032 0.257
Sc 0.968 0.678 0.257
Sc 0.322 0.290 0.257
Sc 0.333 0.667 0.256
Sc 0.678 0.710 0.743
Sc 0.032 0.322 0.743
Sc 0.667 0.333 0.744
Sc 0.290 0.968 0.743
Ge 0.000 0.000 0.500
S 0.524 0.866 0.754
S 0.476 0.134 0.246
S 0.866 0.342 0.246
S 0.658 0.524 0.246
S 0.342 0.476 0.754
S 0.134 0.658 0.754

Summary:
E_form (uncorrected)	-1.424	eV per atom